# 1
{
  "formula": "CuTcS2",
  "functional": "PBE",
  "state": "optimized geometry",
  "lattice_angstrom": [[5.204, 0.000, 0.000], [0.000, 5.204, 0.000], [2.602, 2.602, 5.401]],
  "species": ["Cu", "Tc", "Tc", "Cu", "S", "S", "S", "S"],
  "frac_coords": [[0.500, 0.500, 0.000], [0.750, 0.250, 0.500], [0.000, 0.000, 0.000], [0.250, 0.750, 0.500], [0.120, 0.625, 0.250], [0.375, 0.370, 0.750], [0.875, 0.880, 0.750], [0.630, 0.125, 0.250]],
  "formation_energy_uncorrected_ev_per_atom": -0.19,
  "vol_a3_per_atom": 18.28,
  "crystal_system": "tetragonal",
  "dft_energy_ev_per_atom": -5.870
}

# 2
{
  "formula": "Na2TcHPt",
  "functional": "PBE",
  "state": "optimized geometry",
  "lattice_angstrom": [[-0.864, 0.579, 4.064], [-3.500, -2.467, -0.392], [2.279, -3.387, 0.967]],
  "species": ["Pt", "H", "Na", "Tc", "Na"],
  "frac_coords": [[0.000, 0.500, 0.000], [0.000, 0.000, 0.000], [0.500, 0.000, 0.000], [0.500, 0.500, 0.500], [0.000, 0.000, 0.500]],
  "vol_a3_per_atom": 15.14,
  "crystal_system": "tetragonal",
  "dft_energy_ev_per_atom": -3.886
}

# 3
{
  "formula": "Sr4AlTc",
  "functional": "PBE",
  "state": "optimized geometry",
  "lattice_angstrom": [[0.000, 4.772, 4.772], [4.772, 0.000, 4.772], [4.772, 4.772, 0.000]],
  "species": ["Sr", "Sr", "Sr", "Sr", "Tc", "Al"],
  "frac_coords": [[0.376, 0.376, 0.873], [0.376, 0.376, 0.376], [0.873, 0.376, 0.376], [0.376, 0.873, 0.376], [0.750, 0.750, 0.750], [0.000, 0.000, 0.000]],
  "vol_a3_per_atom": 36.23,
  "crystal_system": "cubic",
  "dft_energy_ev_per_atom": -2.342,
  "e_form_mev_per_atom": 1130.5
}

# 4
{
  "formula": "OsPd2Pb",
  "functional": "PBE",
  "state": "optimized geometry",
  "lattice_angstrom": [[3.938, 0.000, 0.000], [0.000, 3.938, 0.000], [1.969, 1.969, 9.591]],
  "species": ["Pd", "Pd", "Os", "Os", "Pd", "Pb", "Pb", "Pd"],
  "frac_coords": [[0.375, 0.393, 0.750], [0.875, 0.857, 0.750], [0.500, 0.500, 0.000], [0.250, 0.750, 0.500], [0.143, 0.625, 0.250], [0.000, 0.000, 0.000], [0.750, 0.250, 0.500], [0.607, 0.125, 0.250]],
  "vol_a3_per_atom": 18.60,
  "crystal_system": "tetragonal",
  "dft_energy_ev_per_atom": -5.651,
  "e_form_mev_per_atom": 680.0
}

# 5
{
  "formula": "BeAs2OsRu",
  "functional": "PBE",
  "state": "optimized geometry",
  "lattice_angstrom": [[-0.895, 4.197, -1.725], [-4.701, -1.136, -0.324], [-0.685, 1.613, 4.280]],
  "species": ["Ru", "Os", "As", "As", "Be"],
  "frac_coords": [[0.000, 0.000, 0.000], [0.000, 0.500, 0.000], [0.000, 0.000, 0.500], [0.500, 0.000, 0.000], [0.500, 0.500, 0.500]],
  "vol_a3_per_atom": 20.73,
  "crystal_system": "tetragonal",
  "dft_energy_ev_per_atom": -5.223,
  "e_form_mev_per_atom": 1483.2
}

# 6
{
  "formula": "NbAl2Te6",
  "functional": "PBE",
  "state": "optimized geometry",
  "lattice_angstrom": [[7.453, -0.573, -0.555], [1.486, 8.917, 0.266], [1.486, 0.555, 8.904]],
  "species": ["Te", "Te", "Te", "Nb", "Te", "Te", "Te", "Al", "Te", "Te", "Te", "Nb", "Al", "Al", "Te", "Al", "Te", "Te"],
  "frac_coords": [[0.184, 0.106, 0.601], [0.316, 0.399, 0.894], [0.086, 0.832, 0.958], [0.750, 0.888, 0.112], [0.701, 0.261, 0.476], [0.201, 0.476, 0.261], [0.816, 0.894, 0.399], [0.113, 0.627, 0.764], [0.799, 0.524, 0.739], [0.414, 0.042, 0.168], [0.586, 0.958, 0.832], [0.250, 0.112, 0.888], [0.887, 0.373, 0.236], [0.613, 0.764, 0.627], [0.684, 0.601, 0.106], [0.387, 0.236, 0.373], [0.914, 0.168, 0.042], [0.299, 0.739, 0.524]],
  "formation_energy_uncorrected_ev_per_atom": -0.25,
  "vol_a3_per_atom": 33.60,
  "crystal_system": "monoclinic",
  "dft_energy_ev_per_atom": -4.295
}

# 7
{
  "formula": "ZrIr2I",
  "functional": "PBE",
  "state": "optimized geometry",
  "lattice_angstrom": [[2.768, -3.821, 0.646], [-1.930, -4.137, 1.356], [-0.218, -3.643, -3.060]],
  "species": ["Ir", "I", "Ir", "Zr"],
  "frac_coords": [[0.750, 0.750, 0.750], [0.500, 0.500, 0.500], [0.250, 0.250, 0.250], [0.000, 0.000, 0.000]],
  "formation_energy_uncorrected_ev_per_atom": 0.43,
  "vol_a3_per_atom": 19.10,
  "crystal_system": "cubic",
  "dft_energy_ev_per_atom": -6.529
}

# 8
{
  "formula": "Ca2HgPd",
  "functional": "PBE",
  "state": "optimized geometry",
  "lattice_angstrom": [[-1.971, -6.424, 4.410], [1.693, -4.793, -6.226], [3.089, -5.863, 0.165]],
  "species": ["Pd", "Ca", "Hg", "Ca", "Pd", "Hg", "Ca", "Ca"],
  "frac_coords": [[0.500, 0.500, 0.000], [0.156, 0.625, 0.250], [0.750, 0.250, 0.500], [0.594, 0.125, 0.250], [0.250, 0.750, 0.500], [0.000, 0.000, 0.000], [0.375, 0.406, 0.750], [0.875, 0.844, 0.750]],
  "vol_a3_per_atom": 27.55,
  "crystal_system": "tetragonal",
  "dft_energy_ev_per_atom": -2.703,
  "e_form_mev_per_atom": -328.3
}

# 9
{
  "formula": "SrEuAs",
  "functional": "PBE",
  "state": "optimized geometry",
  "lattice_angstrom": [[5.216, 0.000, 0.000], [2.608, 4.517, 0.000], [2.608, 1.506, 4.259]],
  "species": ["Eu", "As", "Sr"],
  "frac_coords": [[0.500, 0.500, 0.500], [0.250, 0.250, 0.250], [0.000, 0.000, 0.000]],
  "vol_a3_per_atom": 33.44,
  "crystal_system": "cubic",
  "dft_energy_ev_per_atom": -6.409,
  "e_form_mev_per_atom": -873.3
}

# 10
{
  "formula": "TiMn3B",
  "functional": "PBE",
  "state": "optimized geometry",
  "lattice_angstrom": [[3.887, 0.000, 0.000], [0.000, 3.887, 0.000], [0.000, 0.000, 3.887]],
  "species": ["Mn", "Mn", "Ti", "Mn", "B"],
  "frac_coords": [[0.500, 0.000, 0.000], [0.000, 0.000, 0.500], [0.500, 0.500, 0.500], [0.000, 0.500, 0.000], [0.000, 0.000, 0.000]],
  "vol_a3_per_atom": 11.74,
  "crystal_system": "cubic",
  "dft_energy_ev_per_atom": -8.520,
  "e_form_mev_per_atom": -104.0
}

# 11
{
  "formula": "YErTh2Bi5",
  "functional": "PBE",
  "state": "optimized geometry",
  "lattice_angstrom": [[-3.234, 3.119, 2.976], [0.926, -3.131, 4.288], [9.151, 6.703, 2.919]],
  "species": ["Th", "Bi", "Bi", "Bi", "Y", "Er", "Bi", "Th", "Bi"],
  "frac_coords": [[0.500, 0.500, 0.704], [0.500, 0.500, 0.000], [0.000, 0.000, 0.247], [0.500, 0.000, 0.500], [0.000, 0.000, 0.000], [0.000, 0.000, 0.500], [0.000, 0.500, 0.500], [0.500, 0.500, 0.296], [0.000, 0.000, 0.753]],
  "vol_a3_per_atom": 37.80,
  "crystal_system": "tetragonal",
  "dft_energy_ev_per_atom": -5.018,
  "e_form_mev_per_atom": 12.0
}

# 12
{
  "formula": "Mn2HS",
  "functional": "PBE",
  "state": "optimized geometry",
  "lattice_angstrom": [[-0.236, 1.027, 3.604], [-3.299, -0.165, 1.787], [-0.568, -2.592, 2.657]],
  "species": ["Mn", "Mn", "S", "H"],
  "frac_coords": [[0.750, 0.750, 0.750], [0.250, 0.250, 0.250], [0.500, 0.500, 0.500], [0.000, 0.000, 0.000]],
  "vol_a3_per_atom": 9.36,
  "crystal_system": "cubic",
  "dft_energy_ev_per_atom": -6.260
}